Computed, not measured: CrGaO2 after structural relaxation at the PBE with a Hubbard U level of DFT.

Calculated values
Space group ... R-3m (166)
Total energy ... -6.632 eV per atom

abc: 6.410 6.410 6.410
angles: 26.56 26.56 26.56
Fractional positions:
1 Cr 0.000 0.000 0.000
2 Ga 0.500 0.500 0.500
3 O 0.390 0.390 0.390
4 O 0.610 0.610 0.610